(1)
GGA-PBE Sr2IrRh, optimized geometry; V = 89.98 Å³/cell; energy above the most stable polymorph in this dataset = 0.5380 eV per atom; energy of formation = 0.3065 eV/atom; crystal system = cubic; density of states at the Fermi level = 5.67 states/eV/cell
1.0
0.000 3.557 3.557
3.557 0.000 3.557
3.557 3.557 0.000
Sr Ir Rh
2 1 1
Direct
0.000 0.000 0.000 Sr
0.250 0.250 0.250 Sr
0.500 0.500 0.500 Ir
0.750 0.750 0.750 Rh

***

(2)
GGA-PBE Sr2IrRh3, optimized geometry; V = 116.76 Å³/cell; energy of formation = -0.2690 eV/atom; crystal system = trigonal; density of states at the Fermi level = 7.00 states/eV/cell
1.0
2.768 1.598 4.400
-2.768 1.598 4.400
0.000 -3.196 4.400
Sr Ir Rh
2 1 3
Direct
0.126 0.126 0.126 Sr
0.874 0.874 0.874 Sr
0.500 0.500 0.500 Ir
0.000 0.500 0.500 Rh
0.500 0.000 0.500 Rh
0.500 0.500 0.000 Rh

***

(3)
GGA-PBE SrIrRh3, optimized geometry; V = 111.99 Å³/cell; energy above the most stable polymorph in this dataset = 0.0000 eV per atom; energy of formation = 0.5425 eV/atom; crystal system = cubic; density of states at the Fermi level = 6.62 states/eV/cell
1.0
4.820 0.000 0.000
0.000 4.820 0.000
0.000 0.000 4.820
Sr Ir Rh
1 1 3
Direct
0.000 0.000 0.000 Sr
0.500 0.500 0.500 Ir
0.000 0.500 0.500 Rh
0.500 0.000 0.500 Rh
0.500 0.500 0.000 Rh

***

(4)
GGA-PBE Sr2IrRh2, optimized geometry; V = 213.65 Å³/cell; energy above the most stable polymorph in this dataset = 0.8915 eV per atom; energy of formation = 0.6699 eV/atom; crystal system = tetragonal; density of states at the Fermi level = 9.76 states/eV/cell
1.0
8.219 0.000 0.000
0.000 8.219 0.000
0.000 0.000 3.163
Sr Ir Rh
4 2 4
Direct
0.139 0.361 0.000 Sr
0.361 0.861 0.000 Sr
0.639 0.139 0.000 Sr
0.861 0.639 0.000 Sr
0.000 0.000 0.000 Ir
0.500 0.500 0.000 Ir
0.170 0.670 0.500 Rh
0.330 0.170 0.500 Rh
0.670 0.830 0.500 Rh
0.830 0.330 0.500 Rh

***

(5)
GGA-PBE Sr2IrRh, optimized geometry; V = 116.24 Å³/cell; energy above the most stable polymorph in this dataset = 0.1934 eV per atom; energy of formation = -0.0380 eV/atom; crystal system = orthorhombic; density of states at the Fermi level = 2.92 states/eV/cell
1.0
-2.208 2.411 5.458
2.208 -2.411 5.458
2.208 2.411 -5.458
Sr Ir Rh
2 1 1
Direct
0.000 0.000 0.000 Sr
0.732 0.232 0.500 Sr
0.325 0.825 0.500 Ir
0.411 0.411 0.000 Rh

***

(6)
GGA-PBE SrIr3Rh, optimized geometry; V = 112.23 Å³/cell; energy above the most stable polymorph in this dataset = 0.0000 eV per atom; energy of formation = 1.0720 eV/atom; crystal system = cubic; density of states at the Fermi level = 9.25 states/eV/cell
1.0
4.824 0.000 0.000
0.000 4.824 0.000
0.000 0.000 4.824
Sr Ir Rh
1 3 1
Direct
0.000 0.000 0.000 Sr
0.000 0.500 0.500 Ir
0.500 0.000 0.500 Ir
0.500 0.500 0.000 Ir
0.500 0.500 0.500 Rh

***

(7)
GGA-PBE Sr6IrRh, optimized geometry; V = 333.25 Å³/cell; energy of formation = -0.1649 eV/atom; crystal system = monoclinic; density of states at the Fermi level = 5.55 states/eV/cell
1.0
3.706 -6.350 0.000
3.706 6.350 0.000
-2.186 0.000 7.081
Sr Ir Rh
6 1 1
Direct
0.092 0.403 0.250 Sr
0.250 0.250 0.752 Sr
0.403 0.092 0.250 Sr
0.597 0.908 0.750 Sr
0.750 0.750 0.248 Sr
0.908 0.597 0.750 Sr
0.000 0.000 0.000 Ir
0.500 0.500 0.500 Rh

***

(8)
GGA-PBE Sr2IrRh2, optimized geometry; V = 114.26 Å³/cell; energy above the most stable polymorph in this dataset = 0.0000 eV per atom; energy of formation = -0.2217 eV/atom; crystal system = orthorhombic; density of states at the Fermi level = 5.26 states/eV/cell
1.0
-2.253 2.649 4.786
2.253 -2.649 4.786
2.253 2.649 -4.786
Sr Ir Rh
2 1 2
Direct
0.198 0.198 0.000 Sr
0.802 0.802 0.000 Sr
0.500 0.000 0.500 Ir
0.243 0.500 0.743 Rh
0.757 0.500 0.257 Rh

***

(9)
GGA-PBE Sr2IrRh, optimized geometry; V = 94.16 Å³/cell; energy above the most stable polymorph in this dataset = 0.3404 eV per atom; energy of formation = 0.1089 eV/atom; crystal system = monoclinic; density of states at the Fermi level = 2.28 states/eV/cell
1.0
3.532 0.000 0.000
0.000 3.679 0.000
-0.011 0.000 7.246
Sr Ir Rh
2 1 1
Direct
0.000 0.000 0.249 Sr
0.000 0.000 0.751 Sr
0.500 0.500 0.000 Ir
0.500 0.500 0.500 Rh

***

(10)
GGA-PBE SrIrRh4, optimized geometry; V = 102.94 Å³/cell; energy of formation = 0.2875 eV/atom; crystal system = cubic; density of states at the Fermi level = 13.32 states/eV/cell
1.0
0.000 3.720 3.720
3.720 0.000 3.720
3.720 3.720 0.000
Sr Ir Rh
1 1 4
Direct
0.000 0.000 0.000 Sr
0.750 0.750 0.750 Ir
0.376 0.376 0.376 Rh
0.376 0.376 0.873 Rh
0.376 0.873 0.376 Rh
0.873 0.376 0.376 Rh

***

(11)
GGA-PBE Sr2IrRh2, optimized geometry; V = 221.33 Å³/cell; energy above the most stable polymorph in this dataset = 0.1378 eV per atom; energy of formation = -0.0839 eV/atom; crystal system = tetragonal; density of states at the Fermi level = 7.33 states/eV/cell
1.0
6.809 0.000 0.000
0.000 6.809 0.000
0.000 0.000 4.774
Sr Ir Rh
4 2 4
Direct
0.182 0.318 0.000 Sr
0.318 0.818 0.000 Sr
0.682 0.182 0.000 Sr
0.818 0.682 0.000 Sr
0.000 0.000 0.500 Ir
0.500 0.500 0.500 Ir
0.133 0.633 0.500 Rh
0.367 0.133 0.500 Rh
0.633 0.867 0.500 Rh
0.867 0.367 0.500 Rh

***

(12)
GGA-PBE Sr2IrRh, optimized geometry; V = 95.42 Å³/cell; energy above the most stable polymorph in this dataset = 0.2625 eV per atom; energy of formation = 0.0311 eV/atom; crystal system = monoclinic; density of states at the Fermi level = 3.21 states/eV/cell
1.0
5.868 -1.608 0.000
5.868 1.608 0.000
-1.685 0.000 5.057
Sr Ir Rh
2 1 1
Direct
0.000 0.000 0.000 Sr
0.202 0.202 0.626 Sr
0.440 0.440 0.462 Ir
0.770 0.770 0.173 Rh

***

- Look up the V of the second one.
  116.76 Å³/cell

***

- density of states at the Fermi level of number 8 (Sr2IrRh2)?
  5.26 states/eV/cell